A plane-wave DFT calculation with PBE-GGA was carried out for crystalline Sr3Li5I12 at its relaxed geometry.

Results
DOS at the Fermi energy: 105.04 states/eV/cell
VASP energy: -2.96 eV/atom
Formation energy from raw total energies: -1299.0 meV per atom

Unit cell a=15.703 b=15.703 c=15.703 alpha=109.47 beta=109.47 gamma=109.47
Element x y z (fractional)
Sr: 0.750 0.375 0.125
Sr: 0.875 0.750 0.125
Sr: 0.375 0.750 0.625
Sr: 0.250 0.125 0.375
Sr: 0.875 0.125 0.250
Sr: 0.375 0.625 0.250
Sr: 0.625 0.375 0.750
Sr: 0.125 0.875 0.750
Sr: 0.750 0.875 0.625
Sr: 0.625 0.250 0.375
Sr: 0.125 0.250 0.875
Sr: 0.250 0.625 0.875
Li: 0.125 0.375 0.250
Li: 0.000 0.500 0.000
Li: 0.000 0.000 0.000
Li: 0.375 0.250 0.125
Li: 0.500 0.000 0.500
Li: 0.500 0.500 0.000
Li: 0.125 0.750 0.375
Li: 0.750 0.125 0.875
Li: 0.750 0.625 0.375
Li: 0.375 0.125 0.750
Li: 0.625 0.875 0.250
Li: 0.500 0.500 0.500
Li: 0.500 0.000 0.000
Li: 0.000 0.000 0.500
Li: 0.250 0.375 0.625
Li: 0.250 0.875 0.125
Li: 0.000 0.500 0.500
Li: 0.875 0.250 0.625
Li: 0.625 0.750 0.875
Li: 0.875 0.625 0.750
I: 0.712 0.122 0.032
I: 0.320 0.532 0.410
I: 0.968 0.378 0.288
I: 0.532 0.212 0.122
I: 0.590 0.712 0.680
I: 0.968 0.590 0.180
I: 0.320 0.788 0.410
I: 0.090 0.910 0.122
I: 0.590 0.968 0.680
I: 0.712 0.590 0.180
I: 0.788 0.468 0.378
I: 0.820 0.910 0.032
I: 0.122 0.712 0.532
I: 0.378 0.410 0.090
I: 0.090 0.910 0.378
I: 0.410 0.122 0.590
I: 0.090 0.180 0.212
I: 0.468 0.680 0.090
I: 0.820 0.910 0.288
I: 0.122 0.410 0.090
I: 0.378 0.968 0.788
I: 0.590 0.622 0.410
I: 0.910 0.820 0.532
I: 0.788 0.320 0.910
I: 0.410 0.378 0.590
I: 0.090 0.180 0.468
I: 0.212 0.680 0.090
I: 0.180 0.090 0.712
I: 0.622 0.032 0.212
I: 0.878 0.590 0.910
I: 0.532 0.320 0.910
I: 0.590 0.878 0.410
I: 0.910 0.820 0.788
I: 0.910 0.090 0.622
I: 0.878 0.288 0.468
I: 0.180 0.090 0.968
I: 0.622 0.590 0.910
I: 0.410 0.032 0.320
I: 0.288 0.410 0.820
I: 0.212 0.532 0.622
I: 0.910 0.090 0.878
I: 0.680 0.212 0.590
I: 0.468 0.788 0.878
I: 0.032 0.410 0.820
I: 0.410 0.288 0.320
I: 0.032 0.622 0.712
I: 0.680 0.468 0.590
I: 0.288 0.878 0.968